(1)
The following is a PBE-GGA calculation of a relaxed MnHgPt2 crystal, from the Alexandria database.

ΔH_f (0 K) = -0.115 eV per atom
magnetic moment = 4.34 Bohr magnetons per cell
space-group type = I-4m2, No. 119

a b c (Å): 5.034 5.034 5.034
angles (deg): 133.34 133.35 68.11
Site moments in Bohr magnetons follow the coordinates.
Fractional positions:
Mn 0.250 0.750 0.500  3.89
Pt 0.000 0.000 0.000  0.17
Pt 0.750 0.250 0.500  0.15
Hg 0.500 0.500 0.000  -0.01

(2)
The following is a PBE-GGA calculation of a relaxed MnHgPt2 crystal, from the Alexandria database.

ΔH_f (0 K) = -0.075 eV per atom
magnetic moment = 4.46 Bohr magnetons per cell
space-group type = Pmm2, No. 25

a b c (Å): 2.929 4.003 5.714
angles (deg): 90.00 90.00 90.00
Site moments in Bohr magnetons follow the coordinates.
Fractional positions:
Hg 0.000 0.000 0.493  -0.01
Pt 0.000 0.000 0.980  0.29
Pt 0.500 0.500 0.248  0.12
Mn 0.500 0.500 0.779  3.87

(3)
The following is a PBE-GGA calculation of a relaxed MnHg2Pt crystal, from the Alexandria database.

ΔH_f (0 K) = 0.145 eV per atom
offset from the most stable computed form = 0.50 eV per formula unit
magnetic moment = 4.19 Bohr magnetons per cell
space-group type = P4/mmm, No. 123

a b c (Å): 4.134 4.134 4.320
angles (deg): 90.00 90.00 90.00
Site moments in Bohr magnetons follow the coordinates.
Fractional positions:
Mn 0.500 0.000 0.500  3.97
Hg 0.000 0.000 0.000  -0.03
Hg 0.500 0.500 0.000  -0.03
Pt 0.000 0.500 0.500  0.08

(4)
The following is a PBE-GGA calculation of a relaxed MnHgPt2 crystal, from the Alexandria database.

ΔH_f (0 K) = -0.175 eV per atom
magnetic moment = 4.38 Bohr magnetons per cell
space-group type = I4/mmm, No. 139

a b c (Å): 4.846 4.846 4.846
angles (deg): 129.44 129.41 74.33
Site moments in Bohr magnetons follow the coordinates.
Fractional positions:
Pt 0.000 0.000 0.000  0.16
Pt 0.500 0.500 0.000  0.16
Mn 0.250 0.750 0.500  3.91
Hg 0.750 0.250 0.500  0.00